1.
First-principles (PBE) data for a relaxed structure of BeFeBr2, as listed in the Alexandria database.

It has space group R-3m (No. 166, hexagonal axes), with a = 3.3056 Å, b = 3.3056 Å, c = 27.2075 Å, α = 90.00°, β = 90.00° and γ = 120.00°. Symmetry generates all atoms from Be at (0.0000, 0.0000, 0.0000), Fe at (0.0000, 0.0000, 0.5000) and Br at (0.0000, 0.0000, 0.3850).

As for the raw formation energy: 293 meV/atom. The calculation puts the energy above the most stable polymorph in this dataset at 31.03 kJ/mol of atoms. The value obtained for the calculated volume is 257.5 Å³ per cell. The energy is -3.590 eV/atom.



2.
First-principles (PBE) data for a relaxed structure of BeFeBr, as listed in the Alexandria database.

It has space group I4mm (No. 107), with a = 3.051 Å, b = 3.051 Å, c = 11.628 Å, α = 90.00°, β = 90.00° and γ = 90.00°. Symmetry generates all atoms from Be at (0.000, 0.000, 0.000), Fe at (0.000, 0.000, 0.414) and Br at (0.000, 0.000, 0.779).

As for the raw formation energy: 568 meV/atom. The calculation puts the energy above the most stable polymorph in this dataset at 9.97 kJ/mol of atoms. The value obtained for the calculated volume is 108.2 Å³ per cell. The energy is -4.053 eV/atom.



3.
First-principles (PBE) data for a relaxed structure of BeFeBr2, as listed in the Alexandria database.

It has space group Imm2 (No. 44), with a = 3.223 Å, b = 8.597 Å, c = 9.038 Å, α = 90.00°, β = 90.00° and γ = 90.00°. Symmetry generates all atoms from Be at (0.000, 0.000, 0.000), Fe at (0.000, 0.500, 0.298), Br at (0.000, 0.000, 0.596) and Br at (0.000, 0.500, 0.660).

As for the raw formation energy: 163 meV/atom. The calculation puts the energy above the most stable polymorph in this dataset at 18.43 kJ/mol of atoms. The value obtained for the calculated volume is 250.4 Å³ per cell. The energy is -3.721 eV/atom.



4.
First-principles (PBE) data for a relaxed structure of BeFeBr2, as listed in the Alexandria database.

It has space group Cmmm (No. 65), with a = 6.759 Å, b = 7.339 Å, c = 3.320 Å, α = 90.00°, β = 90.00° and γ = 90.00°. Symmetry generates all atoms from Be at (0.000, 0.000, 0.000), Fe at (0.000, 0.500, 0.000) and Br at (0.000, 0.230, 0.500).

As for the raw formation energy: 521 meV/atom. The calculation puts the energy above the most stable polymorph in this dataset at 53.05 kJ/mol of atoms. The value obtained for the calculated volume is 164.7 Å³ per cell. The energy is -3.362 eV/atom.



5.
First-principles (PBE) data for a relaxed structure of BeFeBr2, as listed in the Alexandria database.

It has space group Fm-3m (No. 225), with a = 6.574 Å, b = 6.574 Å, c = 6.574 Å, α = 90.00°, β = 90.00° and γ = 90.00°. Symmetry generates all atoms from Be at (0.000, 0.000, 0.000), Fe at (0.000, 0.000, 0.500) and Br at (0.250, 0.250, 0.250).

As for the raw formation energy: 697 meV/atom. The calculation puts the energy above the most stable polymorph in this dataset at 70.01 kJ/mol of atoms. The value obtained for the calculated volume is 284.0 Å³ per cell. The energy is -3.186 eV/atom.



6.
First-principles (PBE) data for a relaxed structure of Be3FeBr, as listed in the Alexandria database.

It has space group Pm-3m (No. 221), with a = 4.263 Å, b = 4.263 Å, c = 4.263 Å, α = 90.00°, β = 90.00° and γ = 90.00°. Symmetry generates all atoms from Be at (0.000, 0.000, 0.500), Fe at (0.500, 0.500, 0.500) and Br at (0.000, 0.000, 0.000).

As for the raw formation energy: 1682 meV/atom. The calculation puts the energy above the most stable polymorph in this dataset at 57.11 kJ/mol of atoms. The value obtained for the calculated volume is 77.5 Å³ per cell. The energy is -2.581 eV/atom.